Below is Tm3BiTe3 after structural relaxation, with properties calculated at the PBE level.

Cell and atoms, written as extended XYZ:
```
14
Lattice="7.669 0.000 0.000 3.835 6.642 0.000 3.835 2.214 11.030" Properties=species:S:1:pos:R:3 pbc="T T T"
Te 10.342 4.631 3.509
Te 4.996 4.225 7.521
Tm 6.241 6.382 8.967
Bi 3.835 2.214 0.000
Tm 5.262 4.168 2.063
Tm 6.691 2.214 8.967
Te 6.509 2.011 3.509
Bi 11.504 6.642 11.030
Te 8.830 6.844 7.521
Tm 9.097 2.473 2.063
Tm 10.076 4.687 8.967
Tm 8.648 6.642 2.063
Te 6.157 6.641 3.509
Te 9.182 2.215 7.521
```

Formation energy from raw total energies ... -981 meV per atom

---

Below is Tm2BiTe4 after structural relaxation, with properties calculated at the PBE level.

Cell and atoms, written as extended XYZ:
```
7
Lattice="4.246 0.000 0.000 0.000 7.588 -0.109 -2.123 -3.809 7.660" Properties=species:S:1:pos:R:3 pbc="T T T"
Te 0.000 5.067 1.838
Tm 0.000 -0.171 3.911
Te 0.000 2.520 5.400
Tm 2.123 3.950 3.641
Te 2.123 1.258 2.151
Bi 0.000 0.000 0.000
Te 2.123 -1.289 5.714
```

Formation energy from raw total energies ... -925 meV per atom
Density of states at the Fermi level ... 2.257 states/eV/cell

---

Below is Tm6BiTe after structural relaxation, with properties calculated at the PBE level.

Cell and atoms, written as extended XYZ:
```
8
Lattice="-3.420 0.808 -7.598 -0.617 -3.987 -7.335 -4.793 -2.812 -0.175" Properties=species:S:1:pos:R:3 pbc="T T T"
Tm -2.107 -1.546 -5.729
Te 0.000 0.000 0.000
Tm -6.523 -4.542 -13.283
Tm -6.723 -4.445 -9.380
Tm -4.603 -2.905 -3.888
Bi -4.415 -2.996 -7.554
Tm -4.227 -3.087 -11.221
Tm -2.308 -1.449 -1.825
```

Formation energy from raw total energies ... -428 meV per atom
Density of states at the Fermi level ... 6.815 states/eV/cell

---

Below is Tm4Bi2Te after structural relaxation, with properties calculated at the PBE level.

Cell and atoms, written as extended XYZ:
```
14
Lattice="-5.769 3.936 -4.300 5.075 -2.231 -6.043 -3.453 -5.843 4.604" Properties=species:S:1:pos:R:3 pbc="T T T"
Tm -2.415 1.409 -7.228
Tm 2.132 -2.185 -6.219
Bi -3.441 -2.583 -1.529
Tm -0.509 -1.490 -3.694
Bi -1.224 -5.638 0.487
Te 0.715 -3.801 -2.154
Tm -2.029 -4.817 -2.945
Tm -3.855 -2.002 -4.593
Bi -0.878 -1.129 -6.796
Te -0.077 0.190 -1.152
Bi -2.749 1.074 -3.640
Tm -3.396 -3.240 1.547
Tm -5.954 1.539 -3.868
Tm -6.328 -1.831 -0.258
```

Formation energy from raw total energies ... -688 meV per atom
Density of states at the Fermi level ... 7.582 states/eV/cell

---

Below is Tm4BiTe3 after structural relaxation, with properties calculated at the PBE level.

Cell and atoms, written as extended XYZ:
```
16
Lattice="6.094 0.000 0.000 0.000 8.855 0.000 0.000 0.000 9.890" Properties=species:S:1:pos:R:3 pbc="T T T"
Tm 3.440 5.747 8.000
Te 3.439 2.924 6.933
Tm 0.392 3.109 6.835
Tm 0.393 8.085 0.000
Te 3.440 8.188 0.000
Te 0.392 0.668 4.945
Tm 3.440 0.770 4.945
Tm 3.440 2.414 0.000
Tm 3.440 5.747 1.890
Te 0.392 5.932 7.903
Bi 3.440 6.538 4.945
Te 0.392 5.932 1.988
Tm 0.392 3.109 3.055
Bi 0.393 2.317 0.000
Tm 0.393 6.442 4.945
Te 3.439 2.924 2.957
```

Formation energy from raw total energies ... -903 meV per atom
Density of states at the Fermi level ... 8.859 states/eV/cell

---

Below is Tm4BiTe3 after structural relaxation, with properties calculated at the PBE level.

Cell and atoms, written as extended XYZ:
```
16
Lattice="-0.768 -3.996 6.345 2.386 -4.547 -5.476 8.157 1.758 2.095" Properties=species:S:1:pos:R:3 pbc="T T T"
Te 4.896 0.098 2.893
Te 4.059 -2.613 -0.366
Tm 2.428 -5.178 -0.664
Tm 7.348 -1.606 3.628
Te 1.635 -5.051 2.282
Tm 6.490 -4.288 0.388
Te 5.716 -4.171 3.330
Tm 3.285 -2.496 2.576
Te 8.140 -1.734 0.682
Tm 4.078 -6.724 3.040
Tm 8.149 -5.860 4.077
Tm 5.698 -0.061 -0.076
Te 2.493 -2.335 5.547
Bi 6.554 -1.460 6.590
Bi 0.835 -0.777 1.850
Tm 1.626 -0.924 -1.113
```

Formation energy from raw total energies ... -1087 meV per atom
Density of states at the Fermi level ... 5.654 states/eV/cell